CuNiAs2 | PBE-GGA | optimized geometry

Output
Formation energy from the elements ... 0.125 eV/atom
Fermi-level density of states ... 0.326 states/eV/atom
Symmetry ... No. 12
Total magnetic moment ... 0.00 μB/f.u.

Cell and atoms, written as CIF:
```
data_CuNiAs2
_chemical_formula_sum 'Cu1 Ni1 As2'
_symmetry_space_group_name_H-M 'P 1'
_symmetry_Int_Tables_number 1
_symmetry_space_group_name_Hall 'P 1'
_cell_length_a 6.436
_cell_length_b 4.436
_cell_length_c 3.041
_cell_angle_alpha 90.34
_cell_angle_beta 61.27
_cell_angle_gamma 124.10
loop_
_atom_site_label
_atom_site_type_symbol
_atom_site_fract_x
_atom_site_fract_y
_atom_site_fract_z
_atom_site_occupancy
As1 As 0.000 0.000 0.000 1
As2 As 0.500 0.000 0.500 1
Cu1 Cu 0.000 0.500 0.500 1
Ni1 Ni 0.500 0.500 0.000 1
```